This record from Alexandria describes an optimized crystal structure of Zr10Al3Bi3. The functional is GGA-PBE.

The space group is P-62m (No. 189) and the conventional cell measures 8.4849, 8.4849 and 5.7791 Å, with angles of 90.00, 90.00 and 120.00 degrees. The distinct sites, in fractional coordinates, are Zr at (0.0000, 0.2499, 0.0000), Zr at (0.0000, 0.7604, 0.5000), Zr at (0.3333, 0.6667, 0.2389), Al at (0.0000, 0.6127, 0.0000) and Bi at (0.0000, 0.3997, 0.5000).

The calculation puts the formation energy at -385 meV per atom. As for the crystal system: hexagonal. The value obtained for the density of states at the Fermi level is 0.4738 states/eV per atom.

This record from Alexandria describes an optimized crystal structure of MgS2NCl. The functional is GGA-PBE.

The space group is P4/mmm (No. 123) and the conventional cell measures 4.850, 4.850 and 3.760 Å, with angles of 90.00, 90.00 and 90.00 degrees. The distinct sites, in fractional coordinates, are Mg at (0.000, 0.000, 0.000), S at (0.000, 0.500, 0.500), N at (0.500, 0.500, 0.000) and Cl at (0.500, 0.500, 0.500).

Its uncorrected formation energy is 1102.2 meV/atom. As for the crystal system: tetragonal. The value obtained for the density of states at the Fermi level is 0.4205 states/eV per atom. The distance to the lowest polymorph of the same formula is 63.8 kJ per mole of atoms.

This record from Alexandria describes an optimized crystal structure of Ac2La2H. The functional is GGA-PBE.

The space group is P4/mmm (No. 123) and the conventional cell measures 5.426, 5.426 and 5.486 Å, with angles of 90.00, 90.00 and 90.00 degrees. The distinct sites, in fractional coordinates, are Ac at (0.000, 0.000, 0.000), Ac at (0.500, 0.500, 0.000), La at (0.000, 0.500, 0.500) and H at (0.000, 0.000, 0.500).

As for the crystal system: tetragonal. The value obtained for the density of states at the Fermi level is 1.0025 states/eV per atom.

This record from Alexandria describes an optimized crystal structure of In3IrBr. The functional is GGA-PBE.

The space group is Cmcm (No. 63) and the conventional cell measures 4.576, 18.653 and 6.606 Å, with angles of 90.00, 90.00 and 90.00 degrees. The distinct sites, in fractional coordinates, are In at (0.000, 0.054, 0.250), In at (0.000, 0.308, 0.516), Ir at (0.000, 0.197, 0.250) and Br at (0.000, 0.443, 0.250).

Its uncorrected formation energy is -191.4 meV/atom. As for the crystal system: orthorhombic. The value obtained for the density of states at the Fermi level is 0.4422 states/eV per atom. The distance to the lowest polymorph of the same formula is 17.9 kJ per mole of atoms.

This record from Alexandria describes an optimized crystal structure of CeTlAu2. The functional is GGA-PBE.

The space group is P4/mmm (No. 123) and the conventional cell measures 3.749, 3.749 and 7.021 Å, with angles of 90.00, 90.00 and 90.00 degrees. The distinct sites, in fractional coordinates, are Ce at (0.000, 0.000, 0.000), Tl at (0.000, 0.000, 0.500) and Au at (0.500, 0.500, 0.235).

The calculation puts the formation energy at -402 meV per atom. As for the crystal system: tetragonal. The value obtained for the density of states at the Fermi level is 2.0312 states/eV per atom. The distance to the lowest polymorph of the same formula is 10.5 kJ per mole of atoms.

This record from Alexandria describes an optimized crystal structure of Ac2ErGa4Pd3. The functional is GGA-PBE.

The space group is P-4m2 (No. 115) and the conventional cell measures 4.351, 4.351 and 11.915 Å, with angles of 90.00, 90.00 and 90.00 degrees. The distinct sites, in fractional coordinates, are Ac at (0.000, 0.500, 0.228), Er at (0.000, 0.000, 0.500), Ga at (0.000, 0.000, 0.000), Ga at (0.000, 0.500, 0.661), Ga at (0.500, 0.500, 0.000), Pd at (0.000, 0.500, 0.878) and Pd at (0.500, 0.500, 0.500).

The calculation puts the formation energy at -716 meV per atom. As for the crystal system: tetragonal. The value obtained for the density of states at the Fermi level is 0.9951 states/eV per atom.

This record from Alexandria describes an optimized crystal structure of Hf3SiHg. The functional is GGA-PBE.

The space group is Pm-3m (No. 221) and the conventional cell measures 4.877, 4.877 and 4.877 Å, with angles of 90.00, 90.00 and 90.00 degrees. The distinct sites, in fractional coordinates, are Hf at (0.000, 0.000, 0.500), Si at (0.000, 0.000, 0.000) and Hg at (0.500, 0.500, 0.500).

Its uncorrected formation energy is 168.7 meV/atom. As for the crystal system: cubic. The value obtained for the density of states at the Fermi level is 0.5053 states/eV per atom.

This record from Alexandria describes an optimized crystal structure of MnCrAu2. The functional is GGA-PBE.

The space group is I-42d (No. 122) and the conventional cell measures 5.578, 5.578 and 11.011 Å, with angles of 90.00, 90.00 and 90.00 degrees. The distinct sites, in fractional coordinates, are Mn at (0.000, 0.000, 0.000), Cr at (0.000, 0.000, 0.500) and Au at (0.246, 0.250, 0.125).

The calculation puts the formation energy at 1556 meV per atom. As for the crystal system: tetragonal. The value obtained for the density of states at the Fermi level is 0.7695 states/eV per atom.

This record from Alexandria describes an optimized crystal structure of LiFeAg4. The functional is GGA-PBE.

The space group is F-43m (No. 216) and the conventional cell measures 7.687, 7.687 and 7.687 Å, with angles of 90.00, 90.00 and 90.00 degrees. The distinct sites, in fractional coordinates, are Li at (0.000, 0.000, 0.000), Fe at (0.250, 0.250, 0.250) and Ag at (0.125, 0.125, 0.625).

The calculation puts the formation energy at 351 meV per atom. As for the crystal system: cubic. The value obtained for the density of states at the Fermi level is 0.7580 states/eV per atom.

This record from Alexandria describes an optimized crystal structure of SrLiGe2Au4. The functional is GGA-PBE.

The space group is R-3m (No. 166, hexagonal axes) and the conventional cell measures 4.5881, 4.5881 and 26.8501 Å, with angles of 90.00, 90.00 and 120.00 degrees. The distinct sites, in fractional coordinates, are Sr at (0.0000, 0.0000, 0.0000), Li at (0.0000, 0.0000, 0.5000), Ge at (0.0000, 0.0000, 0.2418), Au at (0.0000, 0.0000, 0.1401) and Au at (0.0000, 0.0000, 0.4038).

The calculation puts the formation energy at -411 meV per atom. As for the crystal system: trigonal. The value obtained for the density of states at the Fermi level is 0.3218 states/eV per atom.

This record from Alexandria describes an optimized crystal structure of La2AlBr. The functional is GGA-PBE.

The space group is Imm2 (No. 44) and the conventional cell measures 3.882, 3.916 and 16.357 Å, with angles of 90.00, 90.00 and 90.00 degrees. The distinct sites, in fractional coordinates, are La at (0.000, 0.000, 0.000), La at (0.000, 0.500, 0.253), Al at (0.000, 0.500, 0.853) and Br at (0.000, 0.000, 0.595).

Its uncorrected formation energy is -656.8 meV/atom. As for the crystal system: orthorhombic. The value obtained for the density of states at the Fermi level is 0.7314 states/eV per atom. The distance to the lowest polymorph of the same formula is 16.4 kJ per mole of atoms.

This record from Alexandria describes an optimized crystal structure of Tl3GaAg. The functional is GGA-PBE.

The space group is Pm-3m (No. 221) and the conventional cell measures 5.494, 5.494 and 5.494 Å, with angles of 90.00, 90.00 and 90.00 degrees. The distinct sites, in fractional coordinates, are Tl at (0.000, 0.000, 0.500), Ga at (0.500, 0.500, 0.500) and Ag at (0.000, 0.000, 0.000).

The calculation puts the formation energy at 353 meV per atom. As for the crystal system: cubic. The value obtained for the density of states at the Fermi level is 0.4241 states/eV per atom. The distance to the lowest polymorph of the same formula is 0.0 kJ per mole of atoms.

Short version: final energy = -7.157; -2.902; -4.447; -3.941; -4.116; -4.763; -6.948; -4.781; -3.279; -3.654; -4.474; -2.242 eV per atom, in the order given.